Below is a geometry-optimized CePmPr2 structure, with properties calculated at the PBE-GGA level.

Cell lengths 5.1515, 5.1556, 5.1556 Å; angles 90.00, 90.00, 90.00 degrees
Site moments in Bohr magnetons follow the coordinates.
Element x y z (fractional)
Pr 0.0000 0.0000 0.5000  0.00
Pr 0.0000 0.5000 0.0000  0.00
Ce 0.5000 0.0000 0.0000  0.69
Pm 0.5000 0.5000 0.5000  0.00

DFT formation energy = 0.33 eV/f.u.
V = 137 Å³ per cell


Below is a geometry-optimized CePm15Pr4 structure, with properties calculated at the PBE-GGA level.

Cell lengths 5.1817, 5.1817, 25.8439 Å; angles 90.00, 90.00, 90.00 degrees
Site moments in Bohr magnetons follow the coordinates.
Element x y z (fractional)
Pm 0.5000 0.0000 0.2989  0.01
Pm 0.5000 0.0000 0.0974  0.01
Pm 0.5000 0.5000 0.3996  0.00
Pm 0.5000 0.0000 0.7011  0.01
Pm 0.0000 0.5000 0.2989  0.01
Pr 0.0000 0.0000 0.3996  0.00
Pr 0.0000 0.0000 0.1985  -0.01
Pm 0.5000 0.5000 0.6004  0.00
Pm 0.0000 0.5000 0.5000  0.01
Pm 0.0000 0.5000 0.7011  0.01
Pm 0.0000 0.5000 0.9026  0.01
Ce 0.0000 0.0000 0.0000  0.78
Pm 0.5000 0.5000 0.8008  0.00
Pm 0.5000 0.0000 0.9026  0.01
Pr 0.0000 0.0000 0.6004  0.00
Pm 0.5000 0.5000 0.1992  0.00
Pm 0.5000 0.0000 0.5000  0.01
Pm 0.5000 0.5000 0.0000  0.02
Pr 0.0000 0.0000 0.8015  -0.01
Pm 0.0000 0.5000 0.0974  0.01

DFT formation energy = 0.55 eV/f.u.
V = 694 Å³ per cell


Below is a geometry-optimized CePm2Pr8 structure, with properties calculated at the PBE-GGA level.

Cell lengths 5.7869, 8.3512, 9.5695 Å; angles 115.87, 107.60, 90.00 degrees
Site moments in Bohr magnetons follow the coordinates.
Element x y z (fractional)
Pr 0.6342 0.4253 0.2685  0.02
Pr 0.6343 0.8432 0.2685  0.02
Ce 0.5000 0.0000 0.0000  0.64
Pr 0.3658 0.5747 0.7315  0.02
Pm 0.2000 0.7000 0.4000  -0.02
Pm 0.8000 0.3000 0.6000  -0.02
Pr 0.0000 0.2874 0.0000  0.01
Pr 0.3657 0.1568 0.7315  0.02
Pr 0.0000 0.7126 0.0000  0.01
Pr 0.1607 0.1607 0.3214  0.01
Pr 0.8393 0.8393 0.6786  0.01

DFT formation energy = 1.24 eV/f.u.
V = 392 Å³ per cell


Below is a geometry-optimized CePm12Pr2 structure, with properties calculated at the PBE-GGA level.

Cell lengths 6.5824, 6.5824, 25.3905 Å; angles 90.00, 90.00, 90.00 degrees
Site moments in Bohr magnetons follow the coordinates.
Element x y z (fractional)
Ce 0.0000 0.5000 0.0000  0.93
Pm 0.0000 0.0000 0.2137  -0.01
Pm 0.3324 0.1676 0.5619  0.00
Pm 0.3136 0.1864 0.8878  0.01
Pm 0.5000 0.5000 0.2137  -0.01
Pm 0.0000 0.0000 0.6623  0.00
Pm 0.6864 0.1864 0.1122  0.01
Ce 0.5000 0.0000 0.0000  0.93
Pm 0.8324 0.6676 0.4381  0.00
Pm 0.1864 0.3136 0.1122  0.01
Pr 0.5000 0.0000 0.2665  0.00
Pm 0.5000 0.5000 0.6623  0.00
Pr 0.5000 0.0000 0.7335  0.00
Pm 0.1676 0.3324 0.4381  0.00
Pm 0.1864 0.6864 0.8878  0.01
Pm 0.1676 0.6676 0.5619  0.00
Pr 0.0000 0.5000 0.2665  0.00
Pm 0.6676 0.8324 0.5619  0.00
Pm 0.8136 0.6864 0.1122  0.01
Pm 0.3324 0.8324 0.4381  0.00
Pm 0.5000 0.5000 0.7863  -0.01
Pm 0.3136 0.8136 0.1122  0.01
Pm 0.5000 0.5000 0.3377  0.00
Pm 0.6864 0.8136 0.8878  0.01
Pm 0.8136 0.3136 0.8878  0.01
Pm 0.0000 0.0000 0.3377  0.00
Pm 0.8324 0.3324 0.5619  0.00
Pm 0.0000 0.0000 0.7863  -0.01
Pr 0.0000 0.5000 0.7335  0.00
Pm 0.6676 0.1676 0.4381  0.00

DFT formation energy = 4.81 eV/f.u.
V = 1100 Å³ per cell


Below is a geometry-optimized CePmPr14 structure, with properties calculated at the PBE-GGA level.

Cell lengths 7.3916, 7.3916, 10.4956 Å; angles 90.00, 90.00, 90.00 degrees
Site moments in Bohr magnetons follow the coordinates.
Element x y z (fractional)
Pr 0.8751 0.1249 0.5000  0.00
Pr 0.1233 0.3733 0.7527  0.01
Pr 0.3750 0.1250 0.5000  0.01
Pr 0.1232 0.8768 0.2472  0.01
Pr 0.1233 0.3733 0.2473  0.01
Pr 0.3749 0.6251 0.5000  0.00
Pr 0.6267 0.8767 0.2473  0.01
Pr 0.6268 0.3732 0.2474  0.01
Pm 0.3750 0.6250 0.0000  0.00
Pr 0.8750 0.6250 0.0000  0.01
Pr 0.1232 0.8768 0.7528  0.01
Pr 0.6267 0.8767 0.7527  0.01
Pr 0.3750 0.1250 0.0000  0.01
Pr 0.6268 0.3732 0.7526  0.01
Ce 0.8749 0.1251 0.0000  0.84
Pr 0.8750 0.6250 0.5000  0.01

DFT formation energy = 0.49 eV/f.u.
V = 573 Å³ per cell


Below is a geometry-optimized CePmPr structure, with properties calculated at the PBE-GGA level.

Cell lengths 3.5214, 5.7233, 5.7233 Å; angles 120.00, 90.00, 90.00 degrees
Site moments in Bohr magnetons follow the coordinates.
Element x y z (fractional)
Ce 0.1663 0.3333 0.6667  0.74
Pm 0.1672 0.0000 0.0000  0.04
Pr 0.6665 0.6667 0.3333  0.00

DFT formation energy = 0.39 eV/f.u.
V = 100 Å³ per cell


Below is a geometry-optimized Ce4PmPr structure, with properties calculated at the PBE-GGA level.

Cell lengths 6.3821, 6.3821, 6.3821 Å; angles 60.00, 60.00, 60.00 degrees
Site moments in Bohr magnetons follow the coordinates.
Element x y z (fractional)
Pm 0.2500 0.2500 0.2500  0.09
Ce 0.6226 0.1321 0.6226  0.81
Ce 0.6226 0.6226 0.1321  0.81
Pr 0.0000 0.0000 0.0000  0.05
Ce 0.1321 0.6226 0.6226  0.81
Ce 0.6226 0.6226 0.6226  0.81

DFT formation energy = 1.21 eV/f.u.
V = 184 Å³ per cell


Below is a geometry-optimized CePmPr4 structure, with properties calculated at the PBE-GGA level.

Cell lengths 11.0309, 6.3612, 6.3626 Å; angles 70.68, 90.00, 90.00 degrees
Site moments in Bohr magnetons follow the coordinates.
Element x y z (fractional)
Pm 0.0000 0.0000 0.0000  0.02
Pr 0.6659 0.5005 0.4995  0.02
Pr 0.1635 0.9995 0.5003  0.02
Pr 0.3365 0.9995 0.0003  0.02
Pr 0.8365 0.0005 0.4997  0.02
Ce 0.5000 0.5000 0.0000  0.81
Pr 0.6635 0.0005 0.9997  0.02
Pr 0.3341 0.4995 0.5005  0.02
Pr 0.8341 0.5005 0.9995  0.02
Pr 0.1659 0.4995 0.0005  0.02
Ce 0.0000 0.5000 0.5000  0.81
Pm 0.5000 0.0000 0.5000  0.02

DFT formation energy = 0.39 eV/f.u.
V = 421 Å³ per cell


Below is a geometry-optimized CePm6Pr4 structure, with properties calculated at the PBE-GGA level.

Cell lengths 9.9936, 9.9936, 9.9936 Å; angles 56.50, 140.90, 140.90 degrees
Site moments in Bohr magnetons follow the coordinates.
Element x y z (fractional)
Pm 0.6353 0.1911 0.1911  0.00
Pm 0.0000 0.8089 0.4442  0.00
Pm 0.5000 0.0000 0.5000  0.05
Ce 0.0000 0.0000 0.0000  0.54
Pm 0.0000 0.4442 0.8089  0.00
Pm 0.5000 0.5000 0.0000  0.05
Pr 0.6181 0.9870 0.9870  0.00
Pm 0.3647 0.5558 0.5558  0.00
Pr 0.0000 0.6311 0.0130  0.00
Pr 0.0000 0.0130 0.6311  0.00
Pr 0.3819 0.3689 0.3689  0.00

DFT formation energy = 3.23 eV/f.u.
V = 394 Å³ per cell


Below is a geometry-optimized CePmPr6 structure, with properties calculated at the PBE-GGA level.

Cell lengths 5.2078, 5.2078, 10.4102 Å; angles 90.00, 90.00, 90.00 degrees
Site moments in Bohr magnetons follow the coordinates.
Element x y z (fractional)
Pr 0.0000 0.5000 0.2535  0.01
Pr 0.5000 0.0000 0.2535  0.01
Pm 0.0000 0.0000 0.0000  -0.01
Pr 0.5000 0.5000 0.5000  0.01
Pr 0.5000 0.5000 0.0000  -0.01
Ce 0.0000 0.0000 0.5000  0.78
Pr 0.0000 0.5000 0.7465  0.01
Pr 0.5000 0.0000 0.7465  0.01

DFT formation energy = 0.38 eV/f.u.
V = 282 Å³ per cell


Below is a geometry-optimized CePmPr structure, with properties calculated at the PBE-GGA level.

Cell lengths 5.9515, 3.5179, 9.9197 Å; angles 100.25, 72.87, 90.05 degrees
Element x y z (fractional)
Pr 0.2992 0.9942 0.0132
Ce 0.5864 0.2205 0.4656
Pr 0.7370 0.0574 0.1377
Pm 0.9093 0.3765 0.7776
Pm 0.1268 0.6751 0.3733
Ce 0.4497 0.8309 0.6852

DFT formation energy = 0.59 eV/f.u.
V = 195 Å³ per cell


Below is a geometry-optimized CePm2Pr12 structure, with properties calculated at the PBE-GGA level.

Cell lengths 6.6634, 6.6634, 25.6744 Å; angles 90.00, 90.00, 90.00 degrees
Site moments in Bohr magnetons follow the coordinates.
Element x y z (fractional)
Pr 0.1860 0.3140 0.1114  0.01
Pr 0.3140 0.8140 0.1114  0.01
Pr 0.8320 0.6680 0.4375  0.00
Ce 0.5000 0.0000 0.0000  0.95
Pr 0.1860 0.6860 0.8886  0.01
Pr 0.6680 0.8320 0.5625  0.00
Pr 0.8140 0.6860 0.1114  0.01
Pr 0.0000 0.0000 0.6634  0.01
Pr 0.5000 0.5000 0.7868  -0.01
Ce 0.0000 0.5000 0.0000  0.95
Pm 0.0000 0.5000 0.2663  0.00
Pr 0.5000 0.5000 0.2132  -0.01
Pm 0.5000 0.0000 0.2663  0.00
Pr 0.5000 0.5000 0.3366  0.01
Pr 0.6680 0.1680 0.4375  0.00
Pm 0.5000 0.0000 0.7337  0.00
Pr 0.6860 0.8140 0.8886  0.01
Pr 0.3140 0.1860 0.8886  0.01
Pr 0.5000 0.5000 0.6634  0.01
Pr 0.3320 0.8320 0.4375  0.00
Pr 0.8320 0.3320 0.5625  0.00
Pr 0.1680 0.6680 0.5625  0.00
Pm 0.0000 0.5000 0.7337  0.00
Pr 0.6860 0.1860 0.1114  0.01
Pr 0.8140 0.3140 0.8886  0.01
Pr 0.0000 0.0000 0.2132  -0.01
Pr 0.0000 0.0000 0.7868  -0.01
Pr 0.3320 0.1680 0.5625  0.00
Pr 0.1680 0.3320 0.4375  0.00
Pr 0.0000 0.0000 0.3366  0.01

DFT formation energy = 4.78 eV/f.u.
V = 1140 Å³ per cell


Below is a geometry-optimized CePm3Pr2 structure, with properties calculated at the PBE-GGA level.

Cell lengths 3.5531, 6.9614, 17.7587 Å; angles 78.69, 84.26, 75.21 degrees
Site moments in Bohr magnetons follow the coordinates.
Element x y z (fractional)
Pm 0.6260 0.7401 0.0079  -0.01
Pr 0.3712 0.7508 0.5069  0.01
Pm 0.9419 0.9512 0.1650  0.01
Pm 0.3740 0.2599 0.9921  -0.01
Pm 0.7175 0.8985 0.6666  0.01
Pr 0.7997 0.5666 0.8339  0.00
Ce 0.5453 0.5869 0.3225  0.80
Pr 0.6288 0.2492 0.4931  0.01
Ce 0.4547 0.4131 0.6775  0.80
Pm 0.2825 0.1015 0.3334  0.01
Pm 0.0581 0.0488 0.8350  0.01
Pr 0.2003 0.4334 0.1661  0.00

DFT formation energy = 0.84 eV/f.u.
V = 416 Å³ per cell


Below is a geometry-optimized CePmPr6 structure, with properties calculated at the PBE-GGA level.

Cell lengths 6.3845, 6.3845, 8.2406 Å; angles 105.01, 105.01, 109.36 degrees
Site moments in Bohr magnetons follow the coordinates.
Element x y z (fractional)
Pr 0.3780 0.8780 0.7559  0.02
Pr 0.6220 0.1220 0.2441  0.02
Pr 0.7526 0.7526 0.5052  0.01
Pr 0.2474 0.2474 0.4948  0.01
Pr 0.8779 0.3780 0.7559  0.02
Ce 0.0000 0.0000 0.0000  0.81
Pm 0.5000 0.5000 0.0000  0.02
Pr 0.1221 0.6220 0.2441  0.02

DFT formation energy = 0.40 eV/f.u.
V = 283 Å³ per cell


Below is a geometry-optimized CePm2Pr6 structure, with properties calculated at the PBE-GGA level.

Cell lengths 7.1503, 8.9700, 15.8071 Å; angles 140.72, 90.00, 90.00 degrees
Site moments in Bohr magnetons follow the coordinates.
Element x y z (fractional)
Pr 0.2614 0.7625 0.5592  0.01
Pr 0.5000 0.7475 0.3354  0.00
Pr 0.2614 0.2374 0.4407  0.01
Pr 0.7386 0.7626 0.5593  0.01
Pr 0.5000 0.2525 0.6646  0.00
Pm 0.5000 0.1836 0.2233  -0.01
Pm 0.0000 0.3164 0.2767  -0.01
Pr 0.0000 0.7525 0.1646  0.00
Pr 0.7386 0.2375 0.4408  0.01
Pm 0.0000 0.6836 0.7233  -0.01
Pr 0.2386 0.2625 0.0592  0.01
Pr 0.0000 0.2475 0.8354  0.00
Pm 0.5000 0.8164 0.7767  -0.01
Pr 0.7614 0.7375 0.9408  0.01
Pr 0.2386 0.7374 0.9407  0.01
Pr 0.7614 0.2626 0.0593  0.01
Ce 0.5000 0.5000 0.0000  0.80
Ce 0.0000 0.0000 0.5000  0.80

DFT formation energy = 1.31 eV/f.u.
V = 642 Å³ per cell


Below is a geometry-optimized CePmPr2 structure, with properties calculated at the PBE-GGA level.

Cell lengths 3.6420, 3.6420, 12.0303 Å; angles 81.29, 81.29, 60.00 degrees
Site moments in Bohr magnetons follow the coordinates.
Element x y z (fractional)
Pr 0.2522 0.2522 0.2433  -0.01
Ce 0.6669 0.6669 0.9992  0.53
Pr 0.0810 0.0810 0.7570  -0.01
Pm 0.4998 0.4998 0.5005  0.01

DFT formation energy = 0.27 eV/f.u.
V = 136 Å³ per cell


Below is a geometry-optimized CePm14Pr structure, with properties calculated at the PBE-GGA level.

Cell lengths 7.3022, 7.3022, 10.3213 Å; angles 90.00, 90.00, 90.00 degrees
Site moments in Bohr magnetons follow the coordinates.
Element x y z (fractional)
Pr 0.3747 0.6253 0.0000  0.00
Pm 0.3752 0.6248 0.5000  -0.01
Pm 0.1228 0.8772 0.7507  0.01
Pm 0.6272 0.3728 0.2492  0.01
Pm 0.3752 0.1252 0.0000  0.02
Pm 0.8748 0.1252 0.5000  -0.01
Ce 0.8754 0.1246 0.0000  0.80
Pm 0.1229 0.3729 0.7508  0.01
Pm 0.6271 0.8771 0.7508  0.01
Pm 0.3749 0.1249 0.5000  0.00
Pm 0.8748 0.6248 0.0000  0.02
Pm 0.6272 0.3728 0.7508  0.01
Pm 0.1229 0.3729 0.2492  0.01
Pm 0.6271 0.8771 0.2492  0.01
Pm 0.1228 0.8772 0.2493  0.01
Pm 0.8751 0.6251 0.5000  0.00

DFT formation energy = 0.51 eV/f.u.
V = 550 Å³ per cell


Below is a geometry-optimized CePmPr structure, with properties calculated at the PBE-GGA level.

Cell lengths 3.6206, 3.6206, 8.9661 Å; angles 78.35, 78.35, 60.00 degrees
Site moments in Bohr magnetons follow the coordinates.
Element x y z (fractional)
Pm 0.5549 0.5549 0.3354  -0.01
Pr 0.1026 0.1026 0.6923  -0.01
Ce 0.3279 0.3279 0.0162  0.29

DFT formation energy = 0.21 eV/f.u.
V = 99 Å³ per cell


Below is a geometry-optimized Ce2PmPr8 structure, with properties calculated at the PBE-GGA level.

Cell lengths 5.6943, 8.4424, 9.5799 Å; angles 116.14, 107.29, 90.00 degrees
Site moments in Bohr magnetons follow the coordinates.
Element x y z (fractional)
Pr 0.8421 0.8421 0.6842  0.00
Ce 0.1997 0.6997 0.3995  0.69
Pm 0.5000 0.0000 0.0000  -0.03
Pr 0.1579 0.1579 0.3158  0.00
Pr 0.6403 0.8455 0.2806  0.01
Pr 0.0000 0.7027 0.0000  0.00
Pr 0.0000 0.2973 0.0000  0.00
Pr 0.3597 0.1545 0.7194  0.01
Pr 0.3597 0.5649 0.7194  0.01
Pr 0.6403 0.4351 0.2806  0.01
Ce 0.8003 0.3003 0.6005  0.69

DFT formation energy = 1.67 eV/f.u.
V = 390 Å³ per cell


Below is a geometry-optimized CePmPr2 structure, with properties calculated at the PBE-GGA level.

Cell lengths 5.8232, 5.8232, 5.8232 Å; angles 60.00, 60.00, 60.00 degrees
Site moments in Bohr magnetons follow the coordinates.
Element x y z (fractional)
Ce 0.5000 0.5000 0.5000  1.09
Pr 0.7500 0.7500 0.7500  0.25
Pm 0.0000 0.0000 0.0000  0.26
Pr 0.2500 0.2500 0.2500  0.25

DFT formation energy = 0.81 eV/f.u.
V = 140 Å³ per cell


Below is a geometry-optimized CePm4Pr2 structure, with properties calculated at the PBE-GGA level.

Cell lengths 3.6669, 3.6672, 20.8641 Å; angles 95.05, 90.00, 120.00 degrees
Site moments in Bohr magnetons follow the coordinates.
Element x y z (fractional)
Pr 0.7132 0.4264 0.3831  0.00
Pm 0.0029 0.0057 0.2406  0.00
Pm 0.9038 0.8075 0.9495  -0.02
Pm 0.4305 0.8610 0.5278  0.01
Ce 0.8107 0.6213 0.6666  0.78
Pr 0.6167 0.2333 0.0944  -0.01
Pm 0.5237 0.0475 0.8060  0.01

DFT formation energy = 0.38 eV/f.u.
V = 242 Å³ per cell